Here is Pr3SmEr3 after structural relaxation from Alexandria via LeMat-Bulk. Energies are from PBE-GGA.

Lattice parameters (Å, degrees): 9.6977 9.6977 5.7979 90.00 90.00 120.00
Closest atoms and distances in Å follow each position.
Fractional positions:
Pr (0.0958, 0.4735, 0.2500)  3 Sm 3.59-3.68, 5 Er 3.61-3.74, 4 Pr 3.62-3.67
Pr (0.3777, 0.9042, 0.2500)  3 Sm 3.59-3.68, 5 Er 3.61-3.74, 4 Pr 3.62-3.67
Pr (0.4735, 0.3777, 0.7500)  3 Sm 3.59-3.68, 5 Er 3.61-3.74, 4 Pr 3.62-3.67
Pr (0.5265, 0.6223, 0.2500)  3 Sm 3.59-3.68, 5 Er 3.61-3.74, 4 Pr 3.62-3.67
Pr (0.6223, 0.0958, 0.7500)  3 Sm 3.59-3.68, 5 Er 3.61-3.74, 4 Pr 3.62-3.67
Pr (0.9042, 0.5265, 0.7500)  3 Sm 3.59-3.68, 5 Er 3.61-3.74, 4 Pr 3.62-3.67
Sm (0.3333, 0.6667, 0.7500)  9 Pr 3.59-3.68, 3 Er 3.72
Sm (0.6667, 0.3333, 0.2500)  9 Pr 3.59-3.68, 3 Er 3.72
Er (0.0457, 0.2318, 0.7500)  6 Er 3.56-3.57, 5 Pr 3.61-3.74, 1 Sm 3.72
Er (0.1861, 0.9543, 0.7500)  6 Er 3.56-3.57, 5 Pr 3.61-3.74, 1 Sm 3.72
Er (0.2318, 0.1861, 0.2500)  6 Er 3.56-3.57, 5 Pr 3.61-3.74, 1 Sm 3.72
Er (0.7682, 0.8139, 0.7500)  6 Er 3.56-3.57, 5 Pr 3.61-3.74, 1 Sm 3.72
Er (0.8139, 0.0457, 0.2500)  6 Er 3.56-3.57, 5 Pr 3.61-3.74, 1 Sm 3.72
Er (0.9543, 0.7682, 0.2500)  6 Er 3.56-3.57, 5 Pr 3.61-3.74, 1 Sm 3.72

magnetization = 0.0000 μB/atom
DFT formation energy = 28 meV per atom


Here is Pr3Sm2Er3 after structural relaxation from Alexandria via LeMat-Bulk. Energies are from PBE-GGA.

Lattice parameters (Å, degrees): 10.8579 10.8579 10.8579 152.92 152.67 38.85
Closest atoms and distances in Å follow each position.
Fractional positions:
Pr (0.0000, 0.0000, 0.0000)  4 Pr 3.61, 8 Er 3.61
Pr (0.3762, 0.8762, 0.5000)  6 Er 3.59-3.61, 2 Pr 3.61, 4 Sm 3.63-3.64
Pr (0.6238, 0.1238, 0.5000)  6 Er 3.59-3.61, 2 Pr 3.61, 4 Sm 3.63-3.64
Sm (0.2493, 0.2493, 0.0000)  4 Er 3.59-3.63, 4 Sm 3.61, 4 Pr 3.63-3.64
Sm (0.7507, 0.7507, 0.0000)  4 Er 3.59-3.63, 4 Sm 3.61, 4 Pr 3.63-3.64
Er (0.1253, 0.6253, 0.5000)  4 Sm 3.59-3.63, 6 Pr 3.61, 2 Er 3.63
Er (0.5000, 0.5000, 0.0000)  8 Pr 3.59-3.61, 4 Er 3.63
Er (0.8747, 0.3747, 0.5000)  4 Sm 3.59-3.63, 6 Pr 3.61, 2 Er 3.63

magnetization = 0.0001 μB/atom
DFT formation energy = 21 meV per atom


Here is Pr2Sm5Er3 after structural relaxation from Alexandria via LeMat-Bulk. Energies are from PBE-GGA.

Lattice parameters (Å, degrees): 12.4194 12.4194 12.4194 135.20 56.14 147.95
Closest atoms and distances in Å follow each position.
Fractional positions:
Pr (0.1229, 0.1018, 0.2247)  1 Sm 2.90
Pr (0.3771, 0.6018, 0.9789)  1 Sm 2.90
Pr (0.6229, 0.3982, 0.0211)  1 Sm 2.90
Pr (0.8771, 0.8982, 0.7753)  1 Sm 2.90
Sm (0.0008, 0.2500, 0.7508)  4 Sm 3.35-3.43, 2 Pr 3.40
Sm (0.1257, 0.4082, 0.5339)  1 Pr 2.90
Sm (0.2500, 0.7500, 0.5000)  6 Sm 3.36-3.43
Sm (0.3743, 0.9082, 0.2825)  1 Pr 2.90
Sm (0.4992, 0.2500, 0.2492)  4 Sm 3.35-3.43, 2 Pr 3.40
Sm (0.5008, 0.7500, 0.7508)  4 Sm 3.35-3.43, 2 Pr 3.40
Sm (0.6257, 0.0918, 0.7175)  1 Pr 2.90
Sm (0.7500, 0.2500, 0.5000)  6 Sm 3.36-3.43
Sm (0.8743, 0.5918, 0.4661)  1 Pr 2.90
Sm (0.9992, 0.7500, 0.2492)  4 Sm 3.35-3.43, 2 Pr 3.40
Er (0.1208, 0.7516, 0.8723)  1 Sm 3.25, 1 Pr 3.31
Er (0.2500, 0.2500, 0.0000)  4 Pr 3.34, 2 Er 3.43
Er (0.3792, 0.2516, 0.6308)  1 Sm 3.25, 1 Pr 3.31
Er (0.6208, 0.7484, 0.3692)  1 Sm 3.25, 1 Pr 3.31
Er (0.7500, 0.7500, 0.0000)  4 Pr 3.34, 2 Er 3.43
Er (0.8792, 0.2484, 0.1277)  1 Sm 3.25, 1 Pr 3.31

magnetization = 0.0000 μB/atom
DFT formation energy = 383 meV per atom